No. 1
{
  "formula": "NdHg3Pd3",
  "functional": "GGA-PBE",
  "state": "optimized geometry",
  "lattice": [[7.3586, 0.0000, 0.0000], [0.0000, 7.3586, 0.0000], [0.0000, 0.0000, 7.3586]],
  "species": ["Nd", "Nd", "Hg", "Hg", "Hg", "Hg", "Hg", "Hg", "Pd", "Pd", "Pd", "Pd", "Pd", "Pd"],
  "frac_coords": [[0.5000, 0.5000, 0.5000], [0.0000, 0.0000, 0.0000], [0.2500, 0.0000, 0.5000], [0.0000, 0.5000, 0.2500], [0.5000, 0.7500, 0.0000], [0.7500, 0.0000, 0.5000], [0.0000, 0.5000, 0.7500], [0.5000, 0.2500, 0.0000], [0.0000, 0.2500, 0.5000], [0.0000, 0.7500, 0.5000], [0.5000, 0.0000, 0.7500], [0.7500, 0.5000, 0.0000], [0.5000, 0.0000, 0.2500], [0.2500, 0.5000, 0.0000]],
  "e_above_lowest_polymorph_kj_per_mol_fu": 437,
  "e_form_kj_per_mol_atoms": 26.0,
  "dos_at_fermi_per_ev_fu": 3.6
}

No. 2
{
  "formula": "Nd6Hg2Pd",
  "functional": "GGA-PBE",
  "state": "optimized geometry",
  "lattice": [[-0.9926, -2.2512, -2.9422], [0.1298, -7.1204, 5.4045], [-7.5456, 4.6858, -1.0396]],
  "species": ["Nd", "Nd", "Nd", "Nd", "Nd", "Nd", "Hg", "Hg", "Pd"],
  "frac_coords": [[0.5000, 0.5975, 0.0000], [0.5000, 0.4026, 0.4025], [0.5000, 0.0001, 0.5975], [0.0000, 0.2503, 0.0000], [0.0000, 0.7493, 0.7491], [0.0000, 0.0002, 0.2509], [0.0000, 0.3336, 0.6668], [0.0000, 0.6668, 0.3332], [0.5000, 0.9996, 0.0000]],
  "e_above_lowest_polymorph_kj_per_mol_fu": 0,
  "e_form_kj_per_mol_atoms": -36.9,
  "dos_at_fermi_per_ev_fu": 8.6
}

No. 3
{
  "formula": "NdHgPd",
  "functional": "GGA-PBE",
  "state": "optimized geometry",
  "lattice": [[-2.6291, -1.6875, 2.7159], [-4.9151, -3.3233, -3.6681], [1.0372, -5.4899, 0.7477]],
  "species": ["Nd", "Nd", "Hg", "Hg", "Pd", "Pd"],
  "frac_coords": [[0.5561, 0.6899, 0.1978], [0.4439, 0.3101, 0.8022], [0.1699, 0.9235, 0.7368], [0.8301, 0.0765, 0.2632], [0.1452, 0.3412, 0.3684], [0.8548, 0.6588, 0.6316]],
  "e_form_kj_per_mol_atoms": -63.5,
  "dos_at_fermi_per_ev_fu": 1.3
}